[1]
{
  "formula": "NaGePO2",
  "functional": "PBE-GGA",
  "state": "relaxed",
  "lattice_angstrom": [[-2.866, -1.051, 2.397], [2.537, -0.237, 2.928], [-0.816, 4.707, 1.088]],
  "species": ["P", "Ge", "O", "O", "Na"],
  "frac_coords": [[0.000, 0.000, 0.500], [0.000, 0.000, 0.000], [0.000, 0.500, 0.000], [0.500, 0.000, 0.000], [0.500, 0.500, 0.500]],
  "polymorph_energy_mev_per_atom": 0,
  "formation_energy_uncorrected_ev_per_fu": -1.76,
  "sg": "No. 123",
  "vol_a3_per_cell": 73.8,
  "e_tot_ev_per_atom": -4.60
}



[2]
{
  "formula": "NaGe2P3O12",
  "functional": "PBE-GGA",
  "state": "relaxed",
  "lattice_angstrom": [[-0.825, -1.557, -8.508], [6.760, -1.134, -5.339], [1.966, -7.618, -3.688]],
  "species": ["Na", "Na", "Ge", "Ge", "Ge", "Ge", "P", "P", "P", "P", "P", "P", "O", "O", "O", "O", "O", "O", "O", "O", "O", "O", "O", "O", "O", "O", "O", "O", "O", "O", "O", "O", "O", "O", "O", "O"],
  "frac_coords": [[0.000, 0.000, 0.000], [0.500, 0.500, 0.500], [0.648, 0.648, 0.648], [0.352, 0.352, 0.352], [0.856, 0.856, 0.856], [0.144, 0.144, 0.144], [0.537, 0.965, 0.249], [0.249, 0.537, 0.965], [0.965, 0.249, 0.537], [0.463, 0.035, 0.751], [0.751, 0.463, 0.035], [0.035, 0.751, 0.463], [0.524, 0.800, 0.456], [0.456, 0.524, 0.800], [0.800, 0.456, 0.524], [0.476, 0.200, 0.544], [0.544, 0.476, 0.200], [0.200, 0.544, 0.476], [0.741, 0.898, 0.096], [0.096, 0.741, 0.898], [0.898, 0.096, 0.741], [0.259, 0.102, 0.904], [0.904, 0.259, 0.102], [0.102, 0.904, 0.259], [0.521, 0.158, 0.235], [0.235, 0.521, 0.158], [0.158, 0.235, 0.521], [0.479, 0.842, 0.765], [0.765, 0.479, 0.842], [0.842, 0.765, 0.479], [0.374, 0.990, 0.205], [0.205, 0.374, 0.990], [0.990, 0.205, 0.374], [0.626, 0.010, 0.795], [0.795, 0.626, 0.010], [0.010, 0.795, 0.626]],
  "formation_energy_uncorrected_ev_per_fu": -36.24,
  "sg": "No. 148",
  "vol_a3_per_cell": 426.8,
  "e_tot_ev_per_atom": -6.81
}